Entry 1:
Here is an optimized crystal structure of BaSrSc2 from the Alexandria database. Energies are from GGA-PBE.

Summary:
- Density of states at the Fermi level: 1.465 states/eV/atom
- Symmetry: Imm2, No. 44
- Magnetization: 0.00 μB/f.u.
- Calculated volume: 37.42 Å³/atom
- E_form: 347 meV/atom

a b c (Å): 7.1610 7.1610 7.1610
angles (deg): 148.19 128.68 61.65
Last column: nearest neighbours and their distance in Å.
Atoms (fractional coordinates):
Ba1 0.2312 0.7312 0.5000  6 Sc 3.71-3.75, 2 Ba 3.93, 4 Sr 4.04-4.06
Sc1 0.9718 0.9718 0.0000  2 Sc 3.10
Sc2 0.7767 0.2767 0.5000  2 Sc 3.10
Sr1 0.5202 0.5202 0.0000  6 Sc 3.72, 2 Sr 3.93, 4 Ba 4.04-4.06

=====

Entry 2:
Here is an optimized crystal structure of Ba2SrSc from the Alexandria database. Energies are from GGA-PBE.

Summary:
- Density of states at the Fermi level: 1.184 states/eV/atom
- Symmetry: P2/m, No. 10
- Magnetization: 0.00 μB/f.u.
- Calculated volume: 46.78 Å³/atom
- E_form: 299 meV/atom

a b c (Å): 6.2454 3.9479 7.7790
angles (deg): 77.33 90.00 90.00
Last column: nearest neighbours and their distance in Å.
Atoms (fractional coordinates):
Ba1 0.0000 0.0237 0.0179  4 Ba 3.78-4.16, 2 Sc 3.81, 2 Sr 4.03
Ba2 0.0000 0.4763 0.4821  4 Ba 3.78-4.16, 2 Sc 3.81, 2 Sr 4.03
Sc1 0.5000 0.2500 0.2500  4 Ba 3.81, 2 Sc 3.95, 2 Sr 3.96
Sr1 0.5000 0.7500 0.7500  2 Sr 3.95, 2 Sc 3.96, 4 Ba 4.03

=====

Entry 3:
Here is an optimized crystal structure of Ba2SrSc from the Alexandria database. Energies are from GGA-PBE.

Summary:
- Density of states at the Fermi level: 1.227 states/eV/atom
- Symmetry: C2/m, No. 12
- Magnetization: 0.00 μB/f.u.
- Calculated volume: 47.03 Å³/atom
- E_form: 273 meV/atom

a b c (Å): 7.6502 7.6502 6.4985
angles (deg): 64.97 64.97 33.46
Last column: nearest neighbours and their distance in Å.
Atoms (fractional coordinates):
Ba1 0.0272 0.0272 0.9726  2 Sc 3.66, 4 Ba 3.99
Ba2 0.4728 0.4728 0.5274  2 Sc 3.66, 4 Ba 3.99
Sc1 0.7500 0.7500 0.7500  4 Ba 3.66, 4 Sr 3.93
Sr1 0.2500 0.2500 0.2500  4 Sc 3.93, 8 Ba 4.26-4.38

=====

Entry 4:
Here is an optimized crystal structure of BaSrSc2 from the Alexandria database. Energies are from GGA-PBE.

Summary:
- Density of states at the Fermi level: 1.849 states/eV/atom
- Symmetry: Immm, No. 71
- Magnetization: 0.15 μB/f.u.
- Calculated volume: 36.43 Å³/atom
- E_form: 452 meV/atom

a b c (Å): 6.9099 6.9099 6.9099
angles (deg): 144.27 130.09 62.89
Last column: nearest neighbours and their distance in Å.
Atoms (fractional coordinates):
Ba1 0.2500 0.7500 0.5000  4 Sr 3.60, 4 Sc 3.66
Sc1 0.9965 0.9965 0.0000  2 Sr 3.60, 4 Sc 3.61, 2 Ba 3.66
Sc2 0.5035 0.5035 0.0000  2 Sr 3.60, 4 Sc 3.61, 2 Ba 3.66
Sr1 0.7500 0.2500 0.5000  4 Sc 3.60, 4 Ba 3.60

=====

Entry 5:
Here is an optimized crystal structure of Ba2Sr2Sc from the Alexandria database. Energies are from GGA-PBE.

Summary:
- Density of states at the Fermi level: 2.200 states/eV/atom
- Symmetry: I4/mmm, No. 139
- Magnetization: 0.00 μB/f.u.
- Calculated volume: 52.92 Å³/atom
- E_form: 508 meV/atom

a b c (Å): 4.9535 4.9535 11.3378
angles (deg): 77.38 77.38 90.00
Last column: nearest neighbours and their distance in Å.
Atoms (fractional coordinates):
Sc1 0.0000 0.0000 0.0000  8 Ba 4.00
Sr1 0.7500 0.2500 0.5000  4 Sr 3.50
Sr2 0.2500 0.7500 0.5000  4 Sr 3.50
Ba1 0.4108 0.4108 0.1785  1 Ba 3.85, 4 Sc 4.00, 4 Sr 4.26
Ba2 0.5892 0.5892 0.8215  1 Ba 3.85, 4 Sc 4.00, 4 Sr 4.26

=====

Entry 6:
Here is an optimized crystal structure of BaSrSc2 from the Alexandria database. Energies are from GGA-PBE.

Summary:
- Density of states at the Fermi level: 1.985 states/eV/atom
- Symmetry: Fm-3m, No. 225
- Magnetization: 0.01 μB/f.u.
- Calculated volume: 37.07 Å³/atom
- E_form: 449 meV/atom

a b c (Å): 5.9413 5.9413 5.9413
angles (deg): 60.00 60.00 60.00
Last column: nearest neighbours and their distance in Å.
Atoms (fractional coordinates):
Sc1 0.2500 0.2500 0.2500  4 Ba 3.64, 4 Sr 3.64
Sc2 0.7500 0.7500 0.7500  4 Sr 3.64, 4 Ba 3.64
Sr1 0.0000 0.0000 0.0000  8 Sc 3.64
Ba1 0.5000 0.5000 0.5000  8 Sc 3.64

=====

Entry 7:
Here is an optimized crystal structure of Ba2Sr2Sc from the Alexandria database. Energies are from GGA-PBE.

Summary:
- Density of states at the Fermi level: 1.906 states/eV/atom
- Symmetry: I4/mmm, No. 139
- Magnetization: 0.01 μB/f.u.
- Calculated volume: 50.05 Å³/atom
- E_form: 569 meV/atom

a b c (Å): 10.9810 10.9810 10.9810
angles (deg): 154.21 154.21 36.79
Last column: nearest neighbours and their distance in Å.
Atoms (fractional coordinates):
Ba1 0.2500 0.7500 0.5000  4 Ba 3.47
Ba2 0.7500 0.2500 0.5000  4 Ba 3.47
Sr1 0.5875 0.5875 0.0000  1 Sr 3.65, 4 Sc 3.92
Sr2 0.4125 0.4125 0.0000  1 Sr 3.65, 4 Sc 3.92
Sc1 0.0000 0.0000 0.0000  8 Sr 3.92

=====

Entry 8:
Here is an optimized crystal structure of Ba2Sr2Sc from the Alexandria database. Energies are from GGA-PBE.

Summary:
- Density of states at the Fermi level: 1.061 states/eV/atom
- Symmetry: P4/mbm, No. 127
- Magnetization: 1.17 μB/f.u.
- Calculated volume: 51.25 Å³/atom
- E_form: 424 meV/atom

a b c (Å): 9.0312 9.0312 6.2840
angles (deg): 90.00 90.00 90.00
Last column: nearest neighbours and their distance in Å.
Atoms (fractional coordinates):
Sc1 0.0000 0.0000 0.0000  4 Ba 3.46
Sc2 0.5000 0.5000 0.0000  4 Ba 3.46
Sr1 0.1743 0.6743 0.5000  6 Ba 3.89-4.28
Sr2 0.6743 0.8257 0.5000  6 Ba 3.89-4.28
Sr3 0.8257 0.3257 0.5000  6 Ba 3.89-4.28
Sr4 0.3257 0.1743 0.5000  6 Ba 3.89-4.28
Ba1 0.3541 0.8541 0.0000  2 Sc 3.46, 1 Ba 3.73
Ba2 0.8541 0.6459 0.0000  2 Sc 3.46, 1 Ba 3.73
Ba3 0.6459 0.1459 0.0000  2 Sc 3.46, 1 Ba 3.73
Ba4 0.1459 0.3541 0.0000  2 Sc 3.46, 1 Ba 3.73

=====

Entry 9:
Here is an optimized crystal structure of BaSrSc2 from the Alexandria database. Energies are from GGA-PBE.

Summary:
- Density of states at the Fermi level: 2.211 states/eV/atom
- Symmetry: P4/mmm, No. 123
- Magnetization: 1.86 μB/f.u.
- Calculated volume: 37.45 Å³/atom
- E_form: 445 meV/atom

a b c (Å): 3.7353 3.7353 10.7351
angles (deg): 90.00 90.00 90.00
Last column: nearest neighbours and their distance in Å.
Atoms (fractional coordinates):
Ba1 0.5000 0.5000 0.7500  4 Ba 3.74, 8 Sc 3.79
Sc1 0.0000 0.0000 0.0034  4 Sc 3.74, 4 Sr 3.74, 4 Ba 3.79
Sc2 0.0000 0.0000 0.4966  4 Sc 3.74, 4 Sr 3.74, 4 Ba 3.79
Sr1 0.5000 0.5000 0.2500  4 Sr 3.74, 8 Sc 3.74

=====

Entry 10:
Here is an optimized crystal structure of BaSrSc from the Alexandria database. Energies are from GGA-PBE.

Summary:
- Density of states at the Fermi level: 1.589 states/eV/atom
- Symmetry: Fmm2, No. 42
- Magnetization: 0.00 μB/f.u.
- Calculated volume: 42.86 Å³/atom
- E_form: 334 meV/atom

a b c (Å): 9.6518 9.4277 3.8333
angles (deg): 81.71 75.15 23.14
Last column: nearest neighbours and their distance in Å.
Atoms (fractional coordinates):
Ba1 0.9859 0.9859 0.0141  2 Sc 3.63, 4 Ba 3.83
Sc1 0.3316 0.3316 0.6684  2 Sr 3.56, 2 Ba 3.63, 4 Sc 3.83
Sr1 0.6825 0.6825 0.3175  2 Sc 3.56, 4 Sr 3.83

=====

Entry 11:
Here is an optimized crystal structure of BaSrSc2 from the Alexandria database. Energies are from GGA-PBE.

Summary:
- Density of states at the Fermi level: 1.769 states/eV/atom
- Symmetry: F-43m, No. 216
- Magnetization: 0.08 μB/f.u.
- Calculated volume: 36.45 Å³/atom
- E_form: 406 meV/atom

a b c (Å): 5.9076 5.9076 5.9076
angles (deg): 60.00 60.00 60.00
Last column: nearest neighbours and their distance in Å.
Atoms (fractional coordinates):
Ba1 0.5000 0.5000 0.5000  4 Sr 3.62, 4 Sc 3.62
Sc1 0.0000 0.0000 0.0000  4 Sr 3.62, 4 Sc 3.62
Sc2 0.2500 0.2500 0.2500  4 Ba 3.62, 4 Sc 3.62
Sr1 0.7500 0.7500 0.7500  4 Ba 3.62, 4 Sc 3.62

=====

Entry 12:
Here is an optimized crystal structure of Ba2SrSc from the Alexandria database. Energies are from GGA-PBE.

Summary:
- Density of states at the Fermi level: 1.191 states/eV/atom
- Symmetry: I-42d, No. 122
- Magnetization: 0.88 μB/f.u.
- Calculated volume: 47.17 Å³/atom
- E_form: 475 meV/atom

a b c (Å): 10.0224 10.0224 8.0211
angles (deg): 51.34 51.34 90.00
Last column: nearest neighbours and their distance in Å.
Atoms (fractional coordinates):
Sc1 0.5000 0.5000 0.0000  4 Ba 3.51, 2 Sr 3.76
Sc2 0.2500 0.7500 0.5000  4 Ba 3.51, 2 Sr 3.76
Sr1 0.0000 0.0000 0.0000  2 Sc 3.76, 4 Ba 3.83
Sr2 0.7500 0.2500 0.5000  2 Sc 3.76, 4 Ba 3.83
Ba1 0.6011 0.1250 0.2500  2 Sc 3.51, 2 Ba 3.79, 2 Sr 3.83
Ba2 0.1489 0.6250 0.2500  2 Sc 3.51, 2 Ba 3.79, 2 Sr 3.83
Ba3 0.3750 0.3989 0.7500  2 Sc 3.51, 2 Ba 3.79, 2 Sr 3.83
Ba4 0.8750 0.8511 0.7500  2 Sc 3.51, 2 Ba 3.79, 2 Sr 3.83